Material: BeSbCl2
Method: DFT, PBE-GGA
State: relaxed

Cell and atoms, written as CIF:
```
data_BeSbCl2
_cell_length_a 2.939
_cell_length_b 8.450
_cell_length_c 12.038
_cell_angle_alpha 90.00
_cell_angle_beta 90.00
_cell_angle_gamma 90.00
_symmetry_space_group_name_H-M 'I m m m'
_symmetry_Int_Tables_number 71
_symmetry_space_group_name_Hall '-I 2 2'
loop_
_atom_site_label
_atom_site_type_symbol
_atom_site_fract_x
_atom_site_fract_y
_atom_site_fract_z
Be1 Be 0.000 0.000 0.000
Sb1 Sb 0.000 0.000 0.500
Cl1 Cl 0.000 0.500 0.378
```

## Properties
Fermi-level density of states = 2.35 states/eV per cell
raw total energy = -3.37 eV/atom
ΔE to the lowest computed polymorph = 0.202 eV per atom

---

Material: BeSbCl
Method: DFT, PBE-GGA
State: relaxed

Cell and atoms, written as CIF:
```
data_BeSbCl
_cell_length_a 3.073
_cell_length_b 6.486
_cell_length_c 15.860
_cell_angle_alpha 90.00
_cell_angle_beta 90.00
_cell_angle_gamma 90.00
_symmetry_space_group_name_H-M 'F m m 2'
_symmetry_Int_Tables_number 42
_symmetry_space_group_name_Hall 'F 2 -2'
loop_
_atom_site_label
_atom_site_type_symbol
_atom_site_fract_x
_atom_site_fract_y
_atom_site_fract_z
Be1 Be 0.000 0.000 0.000
Sb1 Sb 0.000 0.000 0.635
Cl1 Cl 0.000 0.000 0.415
```

## Properties
Fermi-level density of states = 3.81 states/eV per cell
raw total energy = -3.47 eV/atom
ΔE to the lowest computed polymorph = 0.093 eV per atom

---

Material: BeSbCl2
Method: DFT, PBE-GGA
State: relaxed

Cell and atoms, written as CIF:
```
data_BeSbCl2
_cell_length_a 3.357
_cell_length_b 6.643
_cell_length_c 8.891
_cell_angle_alpha 90.00
_cell_angle_beta 90.00
_cell_angle_gamma 90.00
_symmetry_space_group_name_H-M 'C m m 2'
_symmetry_Int_Tables_number 35
loop_
_symmetry_equiv_pos_as_xyz
'x,y,z'
'-x,-y,z'
'-x,y,z'
'x,-y,z'
'x+1/2,y+1/2,z'
'-x+1/2,-y+1/2,z'
'-x+1/2,y+1/2,z'
'x+1/2,-y+1/2,z'
loop_
_atom_site_label
_atom_site_type_symbol
_atom_site_fract_x
_atom_site_fract_y
_atom_site_fract_z
Be1 Be 0.000 0.000 0.000
Sb1 Sb 0.000 0.500 0.234
Cl1 Cl 0.000 0.000 0.471
Cl2 Cl 0.000 0.500 0.863
```

## Properties
Fermi-level density of states = 3.01 states/eV per cell
raw total energy = -3.16 eV/atom
ΔE to the lowest computed polymorph = 0.413 eV per atom

---

Material: BeSbCl2
Method: DFT, PBE-GGA
State: relaxed

Cell and atoms, written as CIF:
```
data_BeSbCl2
_cell_length_a 3.010
_cell_length_b 6.447
_cell_length_c 12.353
_cell_angle_alpha 90.00
_cell_angle_beta 90.00
_cell_angle_gamma 90.00
_symmetry_space_group_name_H-M 'C m m m'
_symmetry_Int_Tables_number 65
_symmetry_space_group_name_Hall '-C 2 2'
loop_
_atom_site_label
_atom_site_type_symbol
_atom_site_fract_x
_atom_site_fract_y
_atom_site_fract_z
Be1 Be 0.000 0.000 0.000
Sb1 Sb 0.000 0.000 0.500
Cl1 Cl 0.000 0.500 0.118
```

## Properties
Fermi-level density of states = 1.29 states/eV per cell
raw total energy = -3.45 eV/atom
ΔE to the lowest computed polymorph = 0.114 eV per atom

---

Material: Be3SbCl
Method: DFT, PBE-GGA
State: relaxed

Cell and atoms, written as CIF:
```
data_Be3SbCl
_cell_length_a 4.329
_cell_length_b 4.329
_cell_length_c 4.329
_cell_angle_alpha 90.00
_cell_angle_beta 90.00
_cell_angle_gamma 90.00
_symmetry_space_group_name_H-M 'P m -3 m'
_symmetry_Int_Tables_number 221
_symmetry_space_group_name_Hall '-P 4 2 3'
loop_
_atom_site_label
_atom_site_type_symbol
_atom_site_fract_x
_atom_site_fract_y
_atom_site_fract_z
Be1 Be 0.000 0.000 0.500
Sb1 Sb 0.500 0.500 0.500
Cl1 Cl 0.000 0.000 0.000
```

## Properties
Fermi-level density of states = 0.59 states/eV per cell
raw total energy = -2.45 eV/atom
ΔE to the lowest computed polymorph = 0.005 eV per atom

---

Material: BeSb2Cl
Method: DFT, PBE-GGA
State: relaxed

Cell and atoms, written as CIF:
```
data_BeSb2Cl
_cell_length_a 3.165
_cell_length_b 6.225
_cell_length_c 11.044
_cell_angle_alpha 90.00
_cell_angle_beta 90.00
_cell_angle_gamma 90.00
_symmetry_space_group_name_H-M 'C m m 2'
_symmetry_Int_Tables_number 35
loop_
_symmetry_equiv_pos_as_xyz
'x,y,z'
'-x,-y,z'
'-x,y,z'
'x,-y,z'
'x+1/2,y+1/2,z'
'-x+1/2,-y+1/2,z'
'-x+1/2,y+1/2,z'
'x+1/2,-y+1/2,z'
loop_
_atom_site_label
_atom_site_type_symbol
_atom_site_fract_x
_atom_site_fract_y
_atom_site_fract_z
Be1 Be 0.000 0.000 0.000
Sb1 Sb 0.000 0.000 0.546
Sb2 Sb 0.000 0.500 0.806
Cl1 Cl 0.000 0.500 0.119
```

## Properties
Fermi-level density of states = 2.14 states/eV per cell
raw total energy = -3.47 eV/atom
ΔE to the lowest computed polymorph = 0.130 eV per atom

---

Material: BeSbCl2
Method: DFT, PBE-GGA
State: relaxed

Cell and atoms, written as CIF:
```
data_BeSbCl2
_cell_length_a 4.381
_cell_length_b 4.381
_cell_length_c 4.331
_cell_angle_alpha 90.00
_cell_angle_beta 90.00
_cell_angle_gamma 90.00
_symmetry_space_group_name_H-M 'P 4/m m m'
_symmetry_Int_Tables_number 123
_symmetry_space_group_name_Hall '-P 4 2'
loop_
_atom_site_label
_atom_site_type_symbol
_atom_site_fract_x
_atom_site_fract_y
_atom_site_fract_z
Be1 Be 0.000 0.000 0.000
Sb1 Sb 0.500 0.500 0.000
Cl1 Cl 0.000 0.500 0.500
```

## Properties
Fermi-level density of states = 2.21 states/eV per cell
raw total energy = -2.45 eV/atom
ΔE to the lowest computed polymorph = 1.117 eV per atom

---

Material: BeSbCl2
Method: DFT, PBE-GGA
State: relaxed

Cell and atoms, written as CIF:
```
data_BeSbCl2
_cell_length_a 6.956
_cell_length_b 6.956
_cell_length_c 6.956
_cell_angle_alpha 90.00
_cell_angle_beta 90.00
_cell_angle_gamma 90.00
_symmetry_space_group_name_H-M 'F m -3 m'
_symmetry_Int_Tables_number 225
_symmetry_space_group_name_Hall '-F 4 2 3'
loop_
_atom_site_label
_atom_site_type_symbol
_atom_site_fract_x
_atom_site_fract_y
_atom_site_fract_z
Be1 Be 0.000 0.000 0.000
Sb1 Sb 0.000 0.000 0.500
Cl1 Cl 0.250 0.250 0.250
```

## Properties
Fermi-level density of states = 9.89 states/eV per cell
raw total energy = -2.35 eV/atom
ΔE to the lowest computed polymorph = 1.224 eV per atom

---

Material: Be2SbCl
Method: DFT, PBE-GGA
State: relaxed

Cell and atoms, written as CIF:
```
data_Be2SbCl
_cell_length_a 4.190
_cell_length_b 4.025
_cell_length_c 5.466
_cell_angle_alpha 90.00
_cell_angle_beta 98.91
_cell_angle_gamma 90.00
_symmetry_space_group_name_H-M 'P 1 m 1'
_symmetry_Int_Tables_number 6
loop_
_symmetry_equiv_pos_as_xyz
'x,y,z'
'x,-y,z'
loop_
_atom_site_label
_atom_site_type_symbol
_atom_site_fract_x
_atom_site_fract_y
_atom_site_fract_z
Be1 Be 0.000 0.000 0.000
Be2 Be 0.326 0.500 0.561
Sb1 Sb 0.870 0.500 0.783
Cl1 Cl 0.298 0.000 0.325
```

## Properties
raw total energy = -3.51 eV/atom
ΔE to the lowest computed polymorph = 0.002 eV per atom

---

Material: BeSb2Cl
Method: DFT, PBE-GGA
State: relaxed

Cell and atoms, written as CIF:
```
data_BeSb2Cl
_cell_length_a 3.107
_cell_length_b 3.107
_cell_length_c 10.080
_cell_angle_alpha 90.00
_cell_angle_beta 90.00
_cell_angle_gamma 90.00
_symmetry_space_group_name_H-M 'P 4 m m'
_symmetry_Int_Tables_number 99
loop_
_symmetry_equiv_pos_as_xyz
'x,y,z'
'-y,x,z'
'-x,-y,z'
'y,-x,z'
'-x,y,z'
'y,x,z'
'x,-y,z'
'-y,-x,z'
loop_
_atom_site_label
_atom_site_type_symbol
_atom_site_fract_x
_atom_site_fract_y
_atom_site_fract_z
Be1 Be 0.000 0.000 0.000
Sb1 Sb 0.000 0.000 0.523
Sb2 Sb 0.500 0.500 0.793
Cl1 Cl 0.500 0.500 0.118
```

## Properties
Fermi-level density of states = 2.41 states/eV per cell
raw total energy = -3.24 eV/atom
ΔE to the lowest computed polymorph = 0.357 eV per atom

---

Material: Be2SbCl
Method: DFT, PBE-GGA
State: relaxed

Cell and atoms, written as CIF:
```
data_Be2SbCl
_cell_length_a 3.7666
_cell_length_b 3.7666
_cell_length_c 17.9901
_cell_angle_alpha 90.00
_cell_angle_beta 90.00
_cell_angle_gamma 120.00
_symmetry_space_group_name_H-M 'R -3 m'
_symmetry_Int_Tables_number 166
_symmetry_space_group_name_Hall '-R 3 2"'
loop_
_atom_site_label
_atom_site_type_symbol
_atom_site_fract_x
_atom_site_fract_y
_atom_site_fract_z
Be1 Be 0.0000 0.0000 0.2342
Sb1 Sb 0.0000 0.0000 0.5000
Cl1 Cl 0.0000 0.0000 0.0000
```

## Properties
Fermi-level density of states = 1.06 states/eV per cell
raw total energy = -3.14 eV/atom
ΔE to the lowest computed polymorph = 0.373 eV per atom

---

Material: Be4SbCl
Method: DFT, PBE-GGA
State: relaxed

Cell and atoms, written as CIF:
```
data_Be4SbCl
_cell_length_a 6.955
_cell_length_b 6.955
_cell_length_c 6.955
_cell_angle_alpha 90.00
_cell_angle_beta 90.00
_cell_angle_gamma 90.00
_symmetry_space_group_name_H-M 'F -4 3 m'
_symmetry_Int_Tables_number 216
_symmetry_space_group_name_Hall 'F -4 2 3'
loop_
_atom_site_label
_atom_site_type_symbol
_atom_site_fract_x
_atom_site_fract_y
_atom_site_fract_z
Be1 Be 0.121 0.121 0.379
Sb1 Sb 0.250 0.250 0.750
Cl1 Cl 0.000 0.000 0.000
```

## Properties
Fermi-level density of states = 13.56 states/eV per cell
raw total energy = -2.87 eV/atom